DFT (SCAN) results for UTl4C3O11 at its PBEsol-relaxed geometry.

Space group: C2/c (15)
Formation energy without anion corrections (eV per atom): -1.712

Cell and atoms, written as extended XYZ:
```
38
Lattice="5.2478 -4.6492 0.0000 5.2478 4.6492 0.0000 -1.1076 0.0000 12.7354" Properties=species:S:1:pos:R:3 pbc="T T T"
U 4.4172 2.7949 9.5515
U 4.9709 -2.7949 3.1838
Tl 0.9804 1.3828 10.8212
Tl 3.6207 1.7233 5.7234
Tl 1.5341 -1.3828 4.4535
Tl 6.3211 1.7233 0.6442
Tl 3.0670 -1.7233 12.0911
Tl 7.8540 1.3828 8.2819
Tl 5.7674 -1.7233 7.0119
Tl 8.4077 -1.3828 1.9142
C 1.0849 0.3882 1.1219
C 0.5311 -0.3882 7.4896
C 4.9709 0.0548 3.1838
C 4.4172 -0.0548 9.5515
C 8.8570 0.3882 5.2457
C 8.3032 -0.3882 11.6134
O 2.8093 2.7989 8.6544
O -0.0884 0.1943 8.4906
O 0.4654 -0.1943 2.1229
O 3.2093 2.9570 11.6457
O 1.2115 0.2504 6.6427
O 1.7653 -0.2504 0.2750
O 5.6251 2.9570 7.4574
O 4.9709 1.3215 3.1838
O 6.0250 2.7989 10.4486
O 3.8523 0.6593 10.4959
O 4.9820 0.6593 8.6071
O 4.4061 -0.6593 4.1282
O 5.5358 -0.6593 2.2394
O 3.3631 -2.7989 2.2867
O 4.4172 -1.3215 9.5515
O 3.7630 -2.9570 5.2780
O 7.6228 0.2504 12.4603
O 8.1766 -0.2504 6.0927
O 6.1788 -2.9570 1.0897
O 8.9227 0.1943 10.6124
O 9.4765 -0.1943 4.2447
O 6.5788 -2.7989 4.0809
```